# 1
Material: Cu3SeO
Method: DFT, meta-GGA SCAN
State: PBEsol geometry

Properties
calculated total energy	-14.499	eV per atom
formation energy without anion corrections	-0.12	eV/atom
magnetic moment	0.0	μB/f.u.

Geometry as CIF:
```
data_Cu3SeO
_chemical_formula_sum 'Cu3 Se1 O1'
_cell_length_a 3.986
_cell_length_b 3.986
_cell_length_c 3.986
_cell_angle_alpha 90.00
_cell_angle_beta 90.00
_cell_angle_gamma 90.00
_symmetry_space_group_name_H-M 'P m -3 m'
_symmetry_Int_Tables_number 221
_symmetry_space_group_name_Hall '-P 4 2 3'
loop_
_atom_site_label
_atom_site_fract_x
_atom_site_fract_y
_atom_site_fract_z
Cu1 0.000 0.000 0.500
Se1 0.500 0.500 0.500
O1 0.000 0.000 0.000
```

# 2
Material: TcIr3
Method: DFT, meta-GGA SCAN
State: PBEsol geometry

Properties
calculated total energy	-62.239	eV per atom
magnetic moment	0.0	μB/f.u.
energy relative to the elements	-0.15	eV/atom

Geometry as CIF:
```
data_TcIr3
_chemical_formula_sum 'Tc1 Ir3'
_cell_length_a 2.697
_cell_length_b 2.697
_cell_length_c 7.693
_cell_angle_alpha 90.00
_cell_angle_beta 90.00
_cell_angle_gamma 90.00
_symmetry_space_group_name_H-M 'P 4/m m m'
_symmetry_Int_Tables_number 123
_symmetry_space_group_name_Hall '-P 4 2'
loop_
_atom_site_label
_atom_site_fract_x
_atom_site_fract_y
_atom_site_fract_z
Tc1 0.000 0.000 0.000
Ir1 0.000 0.000 0.500
Ir2 0.500 0.500 0.247
```

# 3
Material: Cs2Li3F5
Method: DFT, meta-GGA SCAN
State: PBEsol geometry

Properties
calculated total energy	-12.976	eV per atom
formation energy without anion corrections	-2.93	eV/atom
magnetic moment	0.0	μB/f.u.

Geometry as CIF:
```
data_Cs2Li3F5
_chemical_formula_sum 'Cs4 Li6 F10'
_cell_length_a 3.952
_cell_length_b 4.044
_cell_length_c 19.932
_cell_angle_alpha 90.00
_cell_angle_beta 90.00
_cell_angle_gamma 90.00
_symmetry_space_group_name_H-M 'A m m 2'
_symmetry_Int_Tables_number 38
loop_
_symmetry_equiv_pos_as_xyz
'x,y,z'
'-x,-y,z'
'-x,y,z'
'x,-y,z'
'x,y+1/2,z+1/2'
'-x,-y+1/2,z+1/2'
'-x,y+1/2,z+1/2'
'x,-y+1/2,z+1/2'
loop_
_atom_site_label
_atom_site_fract_x
_atom_site_fract_y
_atom_site_fract_z
Cs1 0.000 0.000 0.000
Cs2 0.500 0.000 0.351
Li1 0.000 0.000 0.153
Li2 0.000 0.000 0.744
Li3 0.500 0.000 0.607
F1 0.000 0.000 0.243
F2 0.000 0.000 0.645
F3 0.000 0.000 0.841
F4 0.500 0.000 0.118
F5 0.500 0.000 0.509
```

# 4
Material: Pd2RhF
Method: DFT, meta-GGA SCAN
State: PBEsol geometry

Properties
calculated total energy	-25.636	eV per atom
formation energy without anion corrections	0.08	eV/atom
magnetic moment	0.0	μB/f.u.

Geometry as CIF:
```
data_Pd2RhF
_chemical_formula_sum 'Pd8 Rh4 F4'
_cell_length_a 5.984
_cell_length_b 5.984
_cell_length_c 5.984
_cell_angle_alpha 90.00
_cell_angle_beta 90.00
_cell_angle_gamma 90.00
_symmetry_space_group_name_H-M 'F m -3 m'
_symmetry_Int_Tables_number 225
_symmetry_space_group_name_Hall '-F 4 2 3'
loop_
_atom_site_label
_atom_site_fract_x
_atom_site_fract_y
_atom_site_fract_z
Pd1 0.250 0.250 0.250
Rh1 0.000 0.000 0.000
F1 0.000 0.000 0.500
```

- magnetic moment of number 2 (TcIr3)?
  0.0 μB/f.u.